[1]
Below is a relaxed structure of Cd3Ag6Au, with properties calculated at the GGA-PBE level.

The structure in CIF format:
```
data_Cd3Ag6Au
_cell_length_a 7.4205
_cell_length_b 5.7994
_cell_length_c 5.7994
_cell_angle_alpha 57.27
_cell_angle_beta 74.11
_cell_angle_gamma 74.11
_space_group_name_H-M_alt 'P 1'
_space_group_IT_number 1
loop_
_space_group_symop_operation_xyz
'x,y,z'
loop_
_atom_site_label
_atom_site_type_symbol
_atom_site_fract_x
_atom_site_fract_y
_atom_site_fract_z
_atom_site_occupancy
Ag1 Ag 0.6901 0.9103 0.4105 1
Ag2 Ag 0.3099 0.0897 0.5895 1
Ag3 Ag 0.6901 0.4105 0.9103 1
Ag4 Ag 0.9203 0.3282 0.3282 1
Ag5 Ag 0.0797 0.6718 0.6718 1
Ag6 Ag 0.3099 0.5895 0.0897 1
Cd1 Cd 0.3143 0.1011 0.1011 1
Cd2 Cd 0.0000 0.0000 0.0000 1
Cd3 Cd 0.6857 0.8989 0.8989 1
Au1 Au 0.5000 0.5000 0.5000 1
```

The relative energy among the computed polymorphs comes out at 0.000 eV/atom. The value obtained for the uncorrected energy is -2.253 eV/atom.


[2]
Below is a relaxed structure of CdAgAu, with properties calculated at the GGA-PBE level.

The structure in CIF format:
```
data_CdAgAu
_cell_length_a 3.0382
_cell_length_b 4.1880
_cell_length_c 9.4753
_cell_angle_alpha 90.01
_cell_angle_beta 110.32
_cell_angle_gamma 89.99
_space_group_name_H-M_alt 'P 1'
_space_group_IT_number 1
loop_
_space_group_symop_operation_xyz
'x,y,z'
loop_
_atom_site_label
_atom_site_type_symbol
_atom_site_fract_x
_atom_site_fract_y
_atom_site_fract_z
_atom_site_occupancy
Cd1 Cd 0.5036 0.2500 0.2513 1
Cd2 Cd 0.4964 0.7500 0.7487 1
Au1 Au 0.1679 0.7500 0.4129 1
Au2 Au 0.8321 0.2500 0.5871 1
Ag1 Ag 0.8305 0.7500 0.0800 1
Ag2 Ag 0.1695 0.2500 0.9200 1
```

The relative energy among the computed polymorphs comes out at 0.014 eV/atom. The value obtained for the uncorrected energy is -2.447 eV/atom.


[3]
Below is a relaxed structure of Cd8Ag2Au, with properties calculated at the GGA-PBE level.

The structure in CIF format:
```
data_Cd8Ag2Au
_cell_length_a 4.6900
_cell_length_b 4.6900
_cell_length_c 10.7482
_cell_angle_alpha 90.00
_cell_angle_beta 90.00
_cell_angle_gamma 90.00
_space_group_name_H-M_alt 'P 1'
_space_group_IT_number 1
loop_
_space_group_symop_operation_xyz
'x,y,z'
loop_
_atom_site_label
_atom_site_type_symbol
_atom_site_fract_x
_atom_site_fract_y
_atom_site_fract_z
_atom_site_occupancy
Cd1 Cd 0.5000 0.5000 0.6768 1
Cd2 Cd 0.0000 0.5000 0.8533 1
Cd3 Cd 0.0000 0.5000 0.5000 1
Cd4 Cd 0.5000 0.0000 0.5000 1
Cd5 Cd 0.5000 0.5000 0.3232 1
Cd6 Cd 0.5000 0.0000 0.1467 1
Cd7 Cd 0.0000 0.5000 0.1467 1
Cd8 Cd 0.5000 0.0000 0.8533 1
Ag1 Ag 0.0000 0.0000 0.3246 1
Ag2 Ag 0.0000 0.0000 0.6754 1
Au1 Au 0.0000 0.0000 0.0000 1
```

The relative energy among the computed polymorphs comes out at 0.000 eV/atom. The value obtained for the uncorrected energy is -1.527 eV/atom.


[4]
Below is a relaxed structure of Cd16Ag6Au7, with properties calculated at the GGA-PBE level.

The structure in CIF format:
```
data_Cd16Ag6Au7
_cell_length_a 9.5618
_cell_length_b 9.5618
_cell_length_c 9.5618
_cell_angle_alpha 60.00
_cell_angle_beta 60.00
_cell_angle_gamma 60.00
_space_group_name_H-M_alt 'P 1'
_space_group_IT_number 1
loop_
_space_group_symop_operation_xyz
'x,y,z'
loop_
_atom_site_label
_atom_site_type_symbol
_atom_site_fract_x
_atom_site_fract_y
_atom_site_fract_z
_atom_site_occupancy
Cd1 Cd 0.8798 0.3607 0.8798 1
Cd2 Cd 0.3459 0.9623 0.3459 1
Cd3 Cd 0.1202 0.1202 0.1202 1
Cd4 Cd 0.3607 0.8798 0.8798 1
Cd5 Cd 0.8798 0.8798 0.3607 1
Cd6 Cd 0.6393 0.1202 0.1202 1
Cd7 Cd 0.3459 0.3459 0.3459 1
Cd8 Cd 0.0377 0.6541 0.6541 1
Cd9 Cd 0.9623 0.3459 0.3459 1
Cd10 Cd 0.1202 0.1202 0.6393 1
Cd11 Cd 0.8798 0.8798 0.8798 1
Cd12 Cd 0.6541 0.6541 0.0377 1
Cd13 Cd 0.6541 0.6541 0.6541 1
Cd14 Cd 0.1202 0.6393 0.1202 1
Cd15 Cd 0.3459 0.3459 0.9623 1
Cd16 Cd 0.6541 0.0377 0.6541 1
Ag1 Ag 0.3390 0.6610 0.3390 1
Ag2 Ag 0.6610 0.6610 0.3390 1
Ag3 Ag 0.3390 0.6610 0.6610 1
Ag4 Ag 0.6610 0.3390 0.6610 1
Ag5 Ag 0.6610 0.3390 0.3390 1
Ag6 Ag 0.3390 0.3390 0.6610 1
Au1 Au 0.0000 0.0000 0.0000 1
Au2 Au 0.0000 0.5000 0.5000 1
Au3 Au 0.5000 0.0000 0.5000 1
Au4 Au 0.5000 0.5000 0.0000 1
Au5 Au 0.5000 0.0000 0.0000 1
Au6 Au 0.0000 0.5000 0.0000 1
Au7 Au 0.0000 0.0000 0.5000 1
```

The value obtained for the uncorrected energy is -1.941 eV/atom.


[5]
Below is a relaxed structure of Cd2Ag2Au, with properties calculated at the GGA-PBE level.

The structure in CIF format:
```
data_Cd2Ag2Au
_cell_length_a 7.5936
_cell_length_b 7.5936
_cell_length_c 3.4967
_cell_angle_alpha 90.00
_cell_angle_beta 90.00
_cell_angle_gamma 90.00
_space_group_name_H-M_alt 'P 1'
_space_group_IT_number 1
loop_
_space_group_symop_operation_xyz
'x,y,z'
loop_
_atom_site_label
_atom_site_type_symbol
_atom_site_fract_x
_atom_site_fract_y
_atom_site_fract_z
_atom_site_occupancy
Cd1 Cd 0.6487 0.1487 0.0000 1
Cd2 Cd 0.3513 0.8513 0.0000 1
Cd3 Cd 0.8513 0.6487 0.0000 1
Cd4 Cd 0.1487 0.3513 0.0000 1
Au1 Au 0.5000 0.5000 0.0000 1
Au2 Au 0.0000 0.0000 0.0000 1
Ag1 Ag 0.1488 0.6488 0.5000 1
Ag2 Ag 0.3512 0.1488 0.5000 1
Ag3 Ag 0.8512 0.3512 0.5000 1
Ag4 Ag 0.6488 0.8512 0.5000 1
```

The relative energy among the computed polymorphs comes out at 0.140 eV/atom. The value obtained for the uncorrected energy is -2.114 eV/atom.


[6]
Below is a relaxed structure of Cd3Ag5Au2, with properties calculated at the GGA-PBE level.

The structure in CIF format:
```
data_Cd3Ag5Au2
_cell_length_a 10.8141
_cell_length_b 7.8558
_cell_length_c 7.8610
_cell_angle_alpha 129.50
_cell_angle_beta 133.37
_cell_angle_gamma 65.30
_space_group_name_H-M_alt 'P 1'
_space_group_IT_number 1
loop_
_space_group_symop_operation_xyz
'x,y,z'
loop_
_atom_site_label
_atom_site_type_symbol
_atom_site_fract_x
_atom_site_fract_y
_atom_site_fract_z
_atom_site_occupancy
Au1 Au 0.0749 0.3229 0.3457 1
Au2 Au 0.9251 0.6771 0.6543 1
Au3 Au 0.3243 0.0765 0.8529 1
Au4 Au 0.6757 0.9235 0.1471 1
Cd1 Cd 0.3777 0.6194 0.7446 1
Cd2 Cd 0.8708 0.1267 0.7394 1
Cd3 Cd 0.1292 0.8733 0.2606 1
Cd4 Cd 0.6223 0.3806 0.2554 1
Cd5 Cd 0.2289 0.9778 0.0554 1
Cd6 Cd 0.7711 0.0222 0.9446 1
Ag1 Ag 0.9772 0.2284 0.5513 1
Ag2 Ag 0.5740 0.8241 0.3473 1
Ag3 Ag 0.2731 0.5238 0.9472 1
Ag4 Ag 0.8260 0.5768 0.8543 1
Ag5 Ag 0.5260 0.2758 0.4522 1
Ag6 Ag 0.4740 0.7242 0.5478 1
Ag7 Ag 0.7269 0.4762 0.0528 1
Ag8 Ag 0.0228 0.7716 0.4487 1
Ag9 Ag 0.4260 0.1759 0.6527 1
Ag10 Ag 0.1740 0.4232 0.1457 1
```

The relative energy among the computed polymorphs comes out at 0.000 eV/atom. The value obtained for the uncorrected energy is -2.437 eV/atom.


[7]
Below is a relaxed structure of Cd3AgAu5, with properties calculated at the GGA-PBE level.

The structure in CIF format:
```
data_Cd3AgAu5
_cell_length_a 8.4310
_cell_length_b 8.4310
_cell_length_c 8.0590
_cell_angle_alpha 121.54
_cell_angle_beta 121.54
_cell_angle_gamma 90.00
_space_group_name_H-M_alt 'P 1'
_space_group_IT_number 1
loop_
_space_group_symop_operation_xyz
'x,y,z'
loop_
_atom_site_label
_atom_site_type_symbol
_atom_site_fract_x
_atom_site_fract_y
_atom_site_fract_z
_atom_site_occupancy
Au1 Au 0.4345 0.3355 0.2700 1
Au2 Au 0.1645 0.0655 0.7300 1
Au3 Au 0.0655 0.5655 0.7300 1
Au4 Au 0.5655 0.6645 0.7300 1
Au5 Au 0.9345 0.4345 0.2700 1
Au6 Au 0.6645 0.1645 0.7300 1
Au7 Au 0.0000 0.0000 0.0000 1
Au8 Au 0.3355 0.8355 0.2700 1
Au9 Au 0.5000 0.5000 0.0000 1
Au10 Au 0.8355 0.9345 0.2700 1
Ag1 Ag 0.2500 0.7500 0.5000 1
Ag2 Ag 0.7500 0.2500 0.5000 1
Cd1 Cd 0.3878 0.8878 0.0000 1
Cd2 Cd 0.2500 0.2500 0.5000 1
Cd3 Cd 0.7500 0.7500 0.5000 1
Cd4 Cd 0.6122 0.1122 0.0000 1
Cd5 Cd 0.1122 0.3878 0.0000 1
Cd6 Cd 0.8878 0.6122 0.0000 1
```

The relative energy among the computed polymorphs comes out at 0.199 eV/atom. The value obtained for the uncorrected energy is -2.353 eV/atom.


[8]
Below is a relaxed structure of Cd3AgAu3, with properties calculated at the GGA-PBE level.

The structure in CIF format:
```
data_Cd3AgAu3
_cell_length_a 7.0790
_cell_length_b 7.0790
_cell_length_c 7.7362
_cell_angle_alpha 100.06
_cell_angle_beta 100.06
_cell_angle_gamma 121.60
_space_group_name_H-M_alt 'P 1'
_space_group_IT_number 1
loop_
_space_group_symop_operation_xyz
'x,y,z'
loop_
_atom_site_label
_atom_site_type_symbol
_atom_site_fract_x
_atom_site_fract_y
_atom_site_fract_z
_atom_site_occupancy
Au1 Au 0.5961 0.5961 0.3542 1
Au2 Au 0.4039 0.4039 0.6458 1
Au3 Au 0.1740 0.8260 0.0000 1
Au4 Au 0.8260 0.1740 0.0000 1
Au5 Au 0.8864 0.1136 0.5000 1
Au6 Au 0.1136 0.8864 0.5000 1
Cd1 Cd 0.6054 0.1889 0.2753 1
Cd2 Cd 0.3946 0.8111 0.7247 1
Cd3 Cd 0.7230 0.7230 0.0540 1
Cd4 Cd 0.2770 0.2770 0.9460 1
Cd5 Cd 0.8111 0.3946 0.7247 1
Cd6 Cd 0.1889 0.6054 0.2753 1
Ag1 Ag 0.1612 0.1612 0.2612 1
Ag2 Ag 0.8388 0.8388 0.7388 1
```

The relative energy among the computed polymorphs comes out at 0.051 eV/atom. The value obtained for the uncorrected energy is -2.241 eV/atom.


| no. | formation energy (eV per atom) |
| --- | --- |
| 1 | 0.060 |
| 2 | -0.100 |
| 3 | -0.045 |
| 4 | -0.055 |
| 5 | 0.048 |
| 6 | -0.082 |
| 7 | 0.090 |
| 8 | -0.037 |